The following is a PBE calculation of a relaxed structure of PrNdDy2Sb4, from the Alexandria database.

Results
Its uncorrected formation energy is -1.158 eV per atom. Its total DFT energy (no corrections) is -5.563 eV per atom.

The structure in POSCAR format:
```
PrNdDy2Sb4
1.0
-0.477 0.680 4.390
0.848 -7.573 1.266
7.487 -1.615 1.065
Pr Nd Dy Sb
1 1 2 4
Direct
0.500 0.500 0.000 Pr
0.000 0.500 0.500 Nd
0.000 0.000 0.000 Dy
0.500 0.000 0.500 Dy
0.000 0.760 0.746 Sb
0.000 0.240 0.254 Sb
0.500 0.760 0.248 Sb
0.500 0.240 0.752 Sb
```

---

The following is a PBE calculation of a relaxed structure of LaTh2Fe, from the Alexandria database.

Results
Its formation energy is 173.4 meV per atom. Its total DFT energy (no corrections) is -6.884 eV per atom.

The structure in POSCAR format:
```
LaTh2Fe
1.0
3.781 0.000 0.000
1.890 3.274 0.000
1.890 1.091 10.111
Fe Th La
1 2 1
Direct
0.500 0.500 0.500 Fe
0.116 0.116 0.653 Th
0.884 0.884 0.347 Th
0.000 0.000 0.000 La
```

---

The following is a PBE calculation of a relaxed structure of CaGaAs2Br, from the Alexandria database.

Results
Its uncorrected formation energy is -0.258 eV per atom. Its total DFT energy (no corrections) is -3.458 eV per atom.

The structure in POSCAR format:
```
CaGaAs2Br
1.0
-0.699 -0.622 -4.754
4.475 -1.807 -0.421
-2.042 -5.286 0.992
As Ca Ga Br
2 1 1 1
Direct
0.000 0.500 0.000 As
0.500 0.000 0.000 As
0.500 0.500 0.500 Ca
0.000 0.000 0.000 Ga
0.000 0.000 0.500 Br
```

---

The following is a PBE calculation of a relaxed structure of ZrTa2Cl, from the Alexandria database.

Results
Its uncorrected formation energy is -0.088 eV per atom. Its total DFT energy (no corrections) is -8.613 eV per atom.

The structure in POSCAR format:
```
ZrTa2Cl
1.0
3.035 -0.008 0.000
-1.098 2.829 0.000
0.000 0.000 8.996
Cl Ta Zr
1 2 1
Direct
0.500 0.500 0.745 Cl
0.000 0.000 0.007 Ta
0.500 0.500 0.242 Ta
0.000 0.000 0.505 Zr
```

---

The following is a PBE calculation of a relaxed structure of YBi, from the Alexandria database.

Results
Its formation energy is -847.5 meV per atom. Its total DFT energy (no corrections) is -6.020 eV per atom.

The structure in POSCAR format:
```
YBi
1.0
-2.384 1.365 -3.512
-1.902 -0.249 4.026
2.043 7.197 1.410
Y Bi
2 2
Direct
0.000 0.000 0.000 Y
0.000 0.000 0.500 Y
0.333 0.667 0.750 Bi
0.667 0.333 0.250 Bi
```

---

The following is a PBE calculation of a relaxed structure of CoAs2Se, from the Alexandria database.

Results
Its uncorrected formation energy is 0.506 eV per atom. Its total DFT energy (no corrections) is -4.466 eV per atom.

The structure in POSCAR format:
```
CoAs2Se
1.0
4.629 -0.015 0.000
-1.333 4.432 0.000
0.000 0.000 3.304
As Co Se
2 1 1
Direct
0.000 0.000 0.000 As
0.500 0.500 0.000 As
0.500 0.000 0.500 Co
0.000 0.500 0.500 Se
```

---

The following is a PBE calculation of a relaxed structure of La2YPd, from the Alexandria database.

Results
Its formation energy is -219.0 meV per atom. Its total DFT energy (no corrections) is -5.597 eV per atom.

The structure in POSCAR format:
```
La2YPd
1.0
-2.817 6.124 5.644
-8.052 -3.524 -0.195
-4.643 -0.646 5.232
Y Pd La
2 2 4
Direct
0.500 0.500 0.000 Y
0.250 0.750 0.500 Y
0.000 0.000 0.000 Pd
0.750 0.250 0.500 Pd
0.688 0.125 0.250 La
0.062 0.625 0.250 La
0.375 0.312 0.750 La
0.875 0.938 0.750 La
```

---

The following is a PBE calculation of a relaxed structure of LaTbEr5Tm2, from the Alexandria database.

Results
Its formation energy is 173.1 meV per atom. Its total DFT energy (no corrections) is -4.417 eV per atom.

The structure in POSCAR format:
```
LaTbEr5Tm2
1.0
5.575 0.000 0.000
-2.787 9.864 0.000
0.000 0.000 10.469
La Tb Er Tm
2 2 10 4
Direct
0.582 0.164 0.947 La
0.418 0.836 0.447 La
0.801 0.601 0.513 Tb
0.199 0.399 0.013 Tb
0.387 0.774 0.024 Er
0.720 0.440 0.814 Er
0.478 0.956 0.735 Er
0.298 0.596 0.711 Er
0.983 0.967 0.526 Er
0.613 0.226 0.524 Er
0.280 0.560 0.314 Er
0.522 0.044 0.235 Er
0.702 0.404 0.211 Er
0.017 0.033 0.026 Er
0.887 0.775 0.819 Tm
0.111 0.223 0.734 Tm
0.113 0.225 0.319 Tm
0.889 0.777 0.234 Tm
```

---

The following is a PBE calculation of a relaxed structure of CeHo12Sc7, from the Alexandria database.

Results
Its formation energy is 167.3 meV per atom. Its total DFT energy (no corrections) is -5.092 eV per atom.

The structure in POSCAR format:
```
CeHo12Sc7
1.0
8.978 -0.153 -0.230
-2.643 8.582 -0.230
-2.643 -3.517 7.831
Ce Ho Sc
1 12 7
Direct
0.000 0.000 0.000 Ce
0.057 0.320 0.849 Ho
0.680 0.151 0.943 Ho
0.630 0.187 0.514 Ho
0.813 0.486 0.370 Ho
0.151 0.943 0.680 Ho
0.486 0.370 0.813 Ho
0.514 0.630 0.187 Ho
0.849 0.057 0.320 Ho
0.187 0.514 0.630 Ho
0.370 0.813 0.486 Ho
0.320 0.849 0.057 Ho
0.943 0.680 0.151 Ho
0.881 0.601 0.763 Sc
0.399 0.237 0.119 Sc
0.237 0.119 0.399 Sc
0.500 0.500 0.500 Sc
0.763 0.881 0.601 Sc
0.601 0.763 0.881 Sc
0.119 0.399 0.237 Sc
```

---

The following is a PBE calculation of a relaxed structure of ZrScS2, from the Alexandria database.

Results
Its uncorrected formation energy is -1.228 eV per atom. Its total DFT energy (no corrections) is -7.012 eV per atom.

The structure in POSCAR format:
```
ZrScS2
1.0
-2.690 1.163 4.977
1.727 -5.087 2.122
4.283 0.491 5.552
Sc S Zr
2 4 2
Direct
0.500 0.500 0.000 Sc
0.250 0.750 0.500 Sc
0.621 0.125 0.250 S
0.129 0.625 0.250 S
0.375 0.379 0.750 S
0.875 0.871 0.750 S
0.000 0.000 0.000 Zr
0.750 0.250 0.500 Zr
```

---

The following is a PBE calculation of a relaxed structure of BaLiHfBiO6, from the Alexandria database.

Results
Its uncorrected formation energy is -2.158 eV per atom. Its total DFT energy (no corrections) is -6.900 eV per atom.

The structure in POSCAR format:
```
BaLiHfBiO6
1.0
0.000 4.185 4.185
4.185 0.000 4.185
4.185 4.185 0.000
Ba Li Hf Bi O
1 1 1 1 6
Direct
0.750 0.750 0.750 Ba
0.250 0.250 0.250 Li
0.500 0.500 0.500 Hf
0.000 0.000 0.000 Bi
0.253 0.747 0.253 O
0.747 0.253 0.747 O
0.253 0.747 0.747 O
0.747 0.253 0.253 O
0.253 0.253 0.747 O
0.747 0.747 0.253 O
```

---

The following is a PBE calculation of a relaxed structure of SiRu2AuF, from the Alexandria database.

Results
Its uncorrected formation energy is 0.688 eV per atom. Its total DFT energy (no corrections) is -5.137 eV per atom.

The structure in POSCAR format:
```
SiRu2AuF
1.0
-3.897 1.083 1.265
-1.321 -0.171 -3.925
-0.973 -4.093 0.506
Ru Si Au F
2 1 1 1
Direct
0.000 0.000 0.500 Ru
0.500 0.000 0.000 Ru
0.000 0.500 0.000 Si
0.500 0.500 0.500 Au
0.000 0.000 0.000 F
```

---

The following is a PBE calculation of a relaxed structure of Na2Cd2Bi, from the Alexandria database.

Results
Its formation energy is -174.6 meV per atom. Its total DFT energy (no corrections) is -1.844 eV per atom.

The structure in POSCAR format:
```
Na2Cd2Bi
1.0
-0.473 -0.963 4.826
0.745 -6.400 1.329
9.811 -2.501 2.996
Na Cd Bi
4 4 2
Direct
0.340 0.285 0.035 Na
0.615 0.161 0.609 Na
0.660 0.715 0.965 Na
0.385 0.839 0.391 Na
0.015 0.117 0.852 Cd
0.092 0.437 0.378 Cd
0.985 0.883 0.148 Cd
0.908 0.563 0.622 Cd
0.726 0.284 0.265 Bi
0.274 0.716 0.735 Bi
```

---

The following is a PBE calculation of a relaxed structure of ZrTaCr2, from the Alexandria database.

Results
Its formation energy is 348.9 meV per atom. Its total DFT energy (no corrections) is -9.563 eV per atom.

The structure in POSCAR format:
```
ZrTaCr2
1.0
5.402 -0.003 0.000
2.876 4.573 0.000
-4.139 -2.285 2.613
Cr Ta Zr
2 1 1
Direct
0.000 0.000 0.000 Cr
0.250 0.750 0.500 Cr
0.500 0.500 0.000 Ta
0.750 0.250 0.500 Zr
```

---

The following is a PBE calculation of a relaxed structure of Zn2Rh2S, from the Alexandria database.

Results
Its uncorrected formation energy is -0.210 eV per atom. Its total DFT energy (no corrections) is -4.486 eV per atom.

The structure in POSCAR format:
```
Zn2Rh2S
1.0
-0.205 -3.095 5.392
-4.074 -4.008 -2.456
2.958 -2.275 -1.193
Zn Rh S
4 4 2
Direct
0.144 0.644 0.500 Zn
0.644 0.856 0.500 Zn
0.856 0.356 0.500 Zn
0.356 0.144 0.500 Zn
0.336 0.836 0.000 Rh
0.836 0.664 0.000 Rh
0.664 0.164 0.000 Rh
0.164 0.336 0.000 Rh
0.000 0.000 0.000 S
0.500 0.500 0.000 S
```

---

The following is a PBE calculation of a relaxed structure of TcGeN, from the Alexandria database.

Results
Its uncorrected formation energy is -0.035 eV per atom. Its total DFT energy (no corrections) is -7.804 eV per atom.

The structure in POSCAR format:
```
TcGeN
1.0
-0.064 0.072 -4.832
-2.844 -0.522 0.030
-0.972 5.342 0.848
Ge Tc N
2 2 2
Direct
0.690 0.000 0.979 Ge
0.544 0.500 0.444 Ge
0.267 0.500 0.802 Tc
0.997 0.000 0.400 Tc
0.973 0.000 0.764 N
0.219 0.500 0.201 N
```

---

The following is a PBE calculation of a relaxed structure of Li3Dy2PuTe6, from the Alexandria database.

Results
Its uncorrected formation energy is -1.186 eV per atom. Its total DFT energy (no corrections) is -5.196 eV per atom.

The structure in POSCAR format:
```
Li3Dy2PuTe6
1.0
-5.360 4.792 -2.351
-1.754 -7.212 1.461
0.957 2.503 6.978
Li Dy Pu Te
3 2 1 6
Direct
0.167 0.833 0.500 Li
0.833 0.167 0.500 Li
0.500 0.500 0.500 Li
0.333 0.667 0.000 Dy
0.667 0.333 0.000 Dy
0.000 0.000 0.000 Pu
0.915 0.577 0.744 Te
0.748 0.748 0.257 Te
0.085 0.423 0.256 Te
0.577 0.915 0.744 Te
0.252 0.252 0.743 Te
0.423 0.085 0.256 Te
```

---

The following is a PBE calculation of a relaxed structure of PrAl9Rh2, from the Alexandria database.

Results
Its formation energy is -566.1 meV per atom. Its total DFT energy (no corrections) is -4.997 eV per atom.

The structure in POSCAR format:
```
PrAl9Rh2
1.0
-6.829 1.412 0.542
-4.321 -5.390 4.728
-2.043 4.987 6.405
Pr Al Rh
2 18 4
Direct
0.500 0.000 0.000 Pr
0.250 0.500 0.500 Pr
0.750 0.500 0.500 Al
0.000 0.000 0.000 Al
0.011 0.921 0.677 Al
0.610 0.079 0.323 Al
0.682 0.177 0.579 Al
0.439 0.823 0.421 Al
0.739 0.823 0.579 Al
0.140 0.177 0.421 Al
0.068 0.921 0.323 Al
0.311 0.079 0.677 Al
0.739 0.579 0.823 Al
0.140 0.421 0.177 Al
0.068 0.323 0.921 Al
0.311 0.677 0.079 Al
0.011 0.677 0.921 Al
0.610 0.323 0.079 Al
0.682 0.579 0.177 Al
0.439 0.421 0.823 Al
0.875 0.250 0.750 Rh
0.875 0.750 0.250 Rh
0.875 0.250 0.250 Rh
0.375 0.750 0.750 Rh
```

---

The following is a PBE calculation of a relaxed structure of FeSiP2, from the Alexandria database.

Results
Its uncorrected formation energy is 0.031 eV per atom. Its total DFT energy (no corrections) is -6.146 eV per atom.

The structure in POSCAR format:
```
FeSiP2
1.0
3.315 -0.238 0.106
1.868 2.749 0.106
1.531 0.741 5.926
Fe P Si
1 2 1
Direct
0.750 0.750 0.750 Fe
0.002 0.002 0.995 P
0.498 0.498 0.505 P
0.250 0.250 0.250 Si
```

---

The following is a PBE calculation of a relaxed structure of UTlPb2S5, from the Alexandria database.

Results
Its uncorrected formation energy is -0.710 eV per atom. Its total DFT energy (no corrections) is -5.344 eV per atom.

The structure in POSCAR format:
```
UTlPb2S5
1.0
-1.711 -4.592 1.437
2.035 -2.782 -6.466
6.217 2.146 5.185
U Tl Pb S
1 1 2 5
Direct
0.500 0.000 0.000 U
0.000 0.500 0.000 Tl
0.212 0.212 0.424 Pb
0.788 0.788 0.576 Pb
0.635 0.895 0.270 S
0.365 0.105 0.730 S
0.365 0.625 0.730 S
0.635 0.375 0.270 S
0.000 0.000 0.000 S
```

---

The following is a PBE calculation of a relaxed structure of Pa2Si4Ni3Rh, from the Alexandria database.

Results
Its uncorrected formation energy is -0.830 eV per atom. Its total DFT energy (no corrections) is -7.368 eV per atom.

The structure in POSCAR format:
```
Pa2Si4Ni3Rh
1.0
4.036 0.000 0.000
0.000 4.036 0.000
0.000 0.000 9.447
Pa Si Ni Rh
2 4 3 1
Direct
0.500 0.000 0.246 Pa
0.000 0.500 0.754 Pa
0.500 0.500 0.000 Si
0.000 0.000 0.000 Si
0.500 0.000 0.637 Si
0.000 0.500 0.363 Si
0.000 0.000 0.500 Ni
0.500 0.000 0.879 Ni
0.000 0.500 0.121 Ni
0.500 0.500 0.500 Rh
```

---

The following is a PBE calculation of a relaxed structure of DyHo2In6, from the Alexandria database.

Results
Its formation energy is -171.8 meV per atom. Its total DFT energy (no corrections) is -3.526 eV per atom.

The structure in POSCAR format:
```
DyHo2In6
1.0
3.596 0.000 0.000
0.000 8.897 0.000
0.000 -4.448 7.705
Dy Ho In
1 2 6
Direct
0.000 0.000 0.000 Dy
0.500 0.333 0.667 Ho
0.500 0.667 0.333 Ho
0.500 0.000 0.704 In
0.500 0.704 0.000 In
0.500 0.296 0.296 In
0.000 0.620 0.620 In
0.000 0.380 0.000 In
0.000 0.000 0.380 In
```

---

The following is a PBE calculation of a relaxed structure of CdNiAu2, from the Alexandria database.

Results
Its formation energy is -1.3 meV per atom. Its total DFT energy (no corrections) is -3.314 eV per atom.

The structure in POSCAR format:
```
CdNiAu2
1.0
3.823 0.000 0.000
0.000 2.970 0.002
0.000 2.984 5.945
Au Cd Ni
2 1 1
Direct
0.000 0.021 0.979 Au
0.500 0.253 0.248 Au
0.000 0.485 0.515 Cd
0.500 0.741 0.758 Ni
```

---

The following is a PBE calculation of a relaxed structure of LiAc2Re2N6, from the Alexandria database.

Results
Its uncorrected formation energy is -0.453 eV per atom. Its total DFT energy (no corrections) is -8.178 eV per atom.

The structure in POSCAR format:
```
LiAc2Re2N6
1.0
-5.315 -0.758 -2.793
-4.916 -1.486 3.201
-4.608 4.854 0.896
Li Ac Re N
1 2 2 6
Direct
0.000 0.000 0.000 Li
0.791 0.791 0.627 Ac
0.209 0.209 0.373 Ac
0.415 0.415 0.756 Re
0.585 0.585 0.244 Re
0.744 0.744 0.280 N
0.232 0.744 0.280 N
0.744 0.232 0.280 N
0.256 0.768 0.720 N
0.768 0.256 0.720 N
0.256 0.256 0.720 N
```